No. 1
Below is an optimized crystal structure of Tl2In2Hg2Pb, with properties calculated at the PBE level.

Results
E_form (eV per atom): 0.0219
Magnetization (Bohr magnetons per cell): 0.0
Uncorrected energy (eV/atom): -2.05

Geometry as POSCAR:
```
Tl2In2Hg2Pb
1.0
5.482 0.000 0.000
2.741 4.748 0.000
2.741 1.583 7.679
Tl In Hg Pb
2 2 2 1
Cartesian
2.741 1.583 4.381
8.223 4.748 3.298
5.482 3.165 2.030
5.482 3.165 5.649
8.223 4.748 6.545
2.741 1.583 1.134
0.000 0.000 0.000
```

No. 2
Below is an optimized crystal structure of Tl2InHg2Pb, with properties calculated at the PBE level.

Results
E_form (eV per atom): 0.0111
Magnetization (Bohr magnetons per cell): 0.0
Uncorrected energy (eV/atom): -1.95

Geometry as POSCAR:
```
Tl2InHg2Pb
1.0
-0.974 0.478 -6.498
2.238 -6.147 -0.787
-8.610 0.773 4.686
Tl In Hg Pb
4 2 4 2
Cartesian
-2.875 -0.797 -1.088
-4.470 -4.099 -1.511
-5.041 -1.294 2.539
-2.304 -3.602 -5.138
1.191 -4.371 -3.845
0.074 -1.298 -3.440
-2.899 -0.449 -4.382
-1.360 -3.729 -1.967
-5.986 -1.167 -0.632
-4.446 -4.447 1.783
1.676 -4.609 -0.604
-0.412 -1.060 -6.681
```

No. 3
Below is an optimized crystal structure of Tl2In6HgPb, with properties calculated at the PBE level.

Results
E_form (eV per atom): 0.0623
Magnetization (Bohr magnetons per cell): 0.0
Uncorrected energy (eV/atom): -2.45

Geometry as POSCAR:
```
Tl2In6HgPb
1.0
8.662 0.000 1.423
0.000 8.115 0.000
1.557 0.000 8.598
Tl In Hg Pb
4 12 2 2
Cartesian
8.638 7.314 4.546
5.133 3.256 1.888
5.086 4.859 8.133
1.581 0.801 5.475
7.128 2.106 7.280
7.440 0.960 1.237
7.418 2.260 4.109
6.353 6.318 2.325
6.332 5.018 5.197
8.201 6.164 7.752
2.018 1.951 2.270
3.887 3.097 4.824
3.866 1.797 7.697
2.779 7.155 8.784
2.801 5.855 5.912
3.091 6.009 2.741
0.779 4.058 4.299
4.331 0.000 0.712
0.000 4.058 0.000
5.110 0.000 5.011
```

No. 4
Below is an optimized crystal structure of TlIn4HgPb2, with properties calculated at the PBE level.

Results
E_form (eV per atom): 0.0812
Magnetization (Bohr magnetons per cell): 0.0
Uncorrected energy (eV/atom): -2.55

Geometry as POSCAR:
```
TlIn4HgPb2
1.0
8.941 0.094 -1.788
0.088 8.941 -1.788
-5.738 -5.742 8.191
Tl In Hg Pb
2 8 2 4
Cartesian
0.044 4.470 -0.894
6.116 1.693 1.414
2.241 6.790 -1.787
3.797 -0.505 2.307
-0.507 3.798 2.309
1.050 -3.497 6.403
1.065 1.099 5.441
3.838 3.874 1.482
-0.547 -0.581 3.133
2.226 2.194 -0.826
1.645 1.647 2.308
3.203 -5.648 6.403
4.470 0.047 -0.894
1.602 -2.824 3.202
-2.869 -2.871 4.096
4.514 4.517 -1.788
```

No. 5
Below is an optimized crystal structure of Tl2In4HgPb, with properties calculated at the PBE level.

Results
E_form (eV per atom): 0.0193
Magnetization (Bohr magnetons per cell): 0.0
Uncorrected energy (eV/atom): -2.44

Geometry as POSCAR:
```
Tl2In4HgPb
1.0
5.607 0.000 0.000
0.000 5.234 1.699
0.000 3.032 8.775
Tl In Hg Pb
2 4 1 1
Cartesian
0.000 3.032 8.775
2.804 1.516 4.388
0.000 6.175 7.939
5.607 2.091 2.535
2.804 4.715 3.401
2.804 3.552 7.073
2.804 2.617 0.849
0.000 4.133 5.237
```

No. 6
Below is an optimized crystal structure of Tl2In2Hg5Pb, with properties calculated at the PBE level.

Results
E_form (eV per atom): 0.0326
Magnetization (Bohr magnetons per cell): 0.0
Uncorrected energy (eV/atom): -1.51

Geometry as POSCAR:
```
Tl2In2Hg5Pb
1.0
4.188 0.000 0.000
0.000 11.752 0.000
0.000 0.000 11.752
Tl In Hg Pb
4 4 10 2
Cartesian
0.000 7.889 2.013
0.000 3.862 9.738
0.000 2.013 3.862
0.000 9.738 7.889
0.000 1.610 7.486
0.000 10.142 4.266
0.000 7.486 10.142
0.000 4.266 1.610
2.094 2.422 0.280
2.094 9.329 11.472
2.094 0.280 9.329
2.094 8.298 5.596
2.094 11.472 2.422
2.094 3.454 6.156
2.094 6.156 8.298
2.094 5.596 3.454
2.094 5.876 0.000
2.094 0.000 5.876
0.000 0.000 0.000
0.000 5.876 5.876
```

No. 7
Below is an optimized crystal structure of TlIn2HgPb, with properties calculated at the PBE level.

Results
E_form (eV per atom): 0.0301
Magnetization (Bohr magnetons per cell): 0.0
Uncorrected energy (eV/atom): -2.34

Geometry as POSCAR:
```
TlIn2HgPb
1.0
3.341 0.000 0.000
0.000 8.140 -0.154
0.000 -3.263 10.809
Tl In Hg Pb
2 4 2 2
Cartesian
0.835 7.158 2.389
2.506 -2.281 8.265
2.506 2.668 6.992
0.835 2.209 3.662
2.506 4.264 1.372
0.835 0.613 9.282
0.835 1.458 0.502
2.506 3.419 10.152
0.835 -0.141 5.962
2.506 5.018 4.692
```

No. 8
Below is an optimized crystal structure of Tl2In2Hg4Pb3, with properties calculated at the PBE level.

Results
E_form (eV per atom): 0.0341
Magnetization (Bohr magnetons per cell): 0.0
Uncorrected energy (eV/atom): -2.02

Geometry as POSCAR:
```
Tl2In2Hg4Pb3
1.0
5.464 0.000 0.000
-2.732 4.732 0.000
0.000 0.000 12.692
Tl In Hg Pb
2 2 4 3
Cartesian
2.732 1.577 4.912
0.000 3.155 7.781
2.732 1.577 11.164
0.000 3.155 1.528
2.732 1.577 1.607
0.000 3.155 11.085
2.732 1.577 8.070
0.000 3.155 4.622
0.000 0.000 9.351
0.000 0.000 0.000
0.000 0.000 3.341
```